Here is crystalline ZnC2O6 at its relaxed geometry from Alexandria via LeMat-Bulk. Energies are from PBE.

Unit cell a=5.6190 b=5.6190 c=9.2593 alpha=117.59 beta=117.59 gamma=57.43
Positions (direct):
Zn (0.1268, 0.8732, 0.7500)
Zn (0.8732, 0.1268, 0.2500)
C (0.3230, 0.5761, 0.1491)
C (0.4239, 0.6770, 0.3509)
C (0.5761, 0.3230, 0.6491)
C (0.6770, 0.4239, 0.8509)
O (0.0789, 0.3341, 0.2486)
O (0.0846, 0.7540, 0.0772)
O (0.2460, 0.9154, 0.4228)
O (0.3263, 0.4893, 0.5772)
O (0.3341, 0.0789, 0.7486)
O (0.4893, 0.3263, 0.0772)
O (0.5107, 0.6737, 0.9228)
O (0.6659, 0.9211, 0.2514)
O (0.6737, 0.5107, 0.4228)
O (0.7540, 0.0846, 0.5772)
O (0.9154, 0.2460, 0.9228)
O (0.9211, 0.6659, 0.7514)

Values from the calculation:
uncorrected formation energy	-0.38	eV/atom
magnetization	4.0	μB per formula unit
raw total energy	-5.879	eV/atom
crystal system	monoclinic
SG	C2/c (15)